A plane-wave DFT calculation with PBE was carried out for a relaxed NdThIn crystal.

Summary:
E	-5.1547	eV per atom
formation energy	-0.54	eV/f.u.
distance to the lowest polymorph of the same formula	0.22	eV/f.u.
calculated density	9.07	Mg/m³

Geometry as CIF:
```
data_NdThIn
_chemical_formula_sum 'Nd2 Th2 In2'
_symmetry_space_group_name_H-M 'I 4 m m'
_symmetry_Int_Tables_number 107
_symmetry_space_group_name_Hall 'I 4 -2'
_cell_length_a 4.1595
_cell_length_b 4.1595
_cell_length_c 10.3982
_cell_angle_alpha 90.00
_cell_angle_beta 90.00
_cell_angle_gamma 90.00
loop_
_atom_site_label
_atom_site_fract_x
_atom_site_fract_y
_atom_site_fract_z
Nd1 0.0000 0.0000 0.0000
Th1 0.0000 0.0000 0.6831
In1 0.0000 0.0000 0.3440
```